1.
A geometry-optimized CsTl2In2 structure, computed with PBE.

The formation enthalpy at 0 K comes out at -0.09 eV per atom. The value obtained for the density of states at the Fermi level is 0.458 states/eV/atom.

Cell and atoms, written as CIF:
```
data_CsTl2In2
_space_group_name_H-M_alt 'I 4/m m m'
_space_group_IT_number 139
_space_group_name_Hall '-I 4 2'
_cell_length_a 5.317
_cell_length_b 5.317
_cell_length_c 12.749
_cell_angle_alpha 90.00
_cell_angle_beta 90.00
_cell_angle_gamma 90.00
loop_
_atom_site_label
_atom_site_type_symbol
_atom_site_fract_x
_atom_site_fract_y
_atom_site_fract_z
Cs1 Cs 0.000 0.000 0.000
Tl1 Tl 0.000 0.500 0.250
In1 In 0.000 0.000 0.382
```



2.
A geometry-optimized CsTl2In2 structure, computed with PBE.

The formation enthalpy at 0 K comes out at -0.08 eV per atom. The value obtained for the density of states at the Fermi level is 0.422 states/eV/atom.

Cell and atoms, written as CIF:
```
data_CsTl2In2
_space_group_name_H-M_alt 'P -1'
_space_group_IT_number 2
_cell_length_a 7.114
_cell_length_b 7.357
_cell_length_c 7.609
_cell_angle_alpha 90.70
_cell_angle_beta 107.14
_cell_angle_gamma 108.58
loop_
_space_group_symop_operation_xyz
'x,y,z'
'-x,-y,-z'
loop_
_atom_site_label
_atom_site_type_symbol
_atom_site_fract_x
_atom_site_fract_y
_atom_site_fract_z
Cs1 Cs 0.219 0.453 0.317
Tl1 Tl 0.281 0.969 0.551
Tl2 Tl 0.378 0.698 0.884
In1 In 0.188 0.236 0.802
In2 In 0.219 0.942 0.101
```



3.
A geometry-optimized Cs3Tl5In2 structure, computed with PBE.

The formation enthalpy at 0 K comes out at -0.07 eV per atom. The value obtained for the density of states at the Fermi level is 0.875 states/eV/atom.

Cell and atoms, written as CIF:
```
data_Cs3Tl5In2
_space_group_name_H-M_alt 'P 4/m b m'
_space_group_IT_number 127
_space_group_name_Hall '-P 4 2ab'
_cell_length_a 13.207
_cell_length_b 13.207
_cell_length_c 4.815
_cell_angle_alpha 90.00
_cell_angle_beta 90.00
_cell_angle_gamma 90.00
loop_
_atom_site_label
_atom_site_type_symbol
_atom_site_fract_x
_atom_site_fract_y
_atom_site_fract_z
Cs1 Cs 0.000 0.000 0.000
Cs2 Cs 0.186 0.314 0.000
Tl1 Tl 0.000 0.500 0.500
Tl2 Tl 0.057 0.757 0.500
In1 In 0.110 0.610 0.000
```



4.
A geometry-optimized Cs3TlIn structure, computed with PBE.

The formation enthalpy at 0 K comes out at 0.28 eV per atom. The value obtained for the density of states at the Fermi level is 1.630 states/eV/atom.

Cell and atoms, written as CIF:
```
data_Cs3TlIn
_space_group_name_H-M_alt 'P m -3 m'
_space_group_IT_number 221
_space_group_name_Hall '-P 4 2 3'
_cell_length_a 7.397
_cell_length_b 7.397
_cell_length_c 7.397
_cell_angle_alpha 90.00
_cell_angle_beta 90.00
_cell_angle_gamma 90.00
loop_
_atom_site_label
_atom_site_type_symbol
_atom_site_fract_x
_atom_site_fract_y
_atom_site_fract_z
Cs1 Cs 0.000 0.000 0.500
Tl1 Tl 0.500 0.500 0.500
In1 In 0.000 0.000 0.000
```



5.
A geometry-optimized CsTl2In9 structure, computed with PBE.

The formation enthalpy at 0 K comes out at 0.00 eV per atom. The value obtained for the density of states at the Fermi level is 0.513 states/eV/atom.

Cell and atoms, written as CIF:
```
data_CsTl2In9
_space_group_name_H-M_alt 'R -3 m'
_space_group_IT_number 166
_space_group_name_Hall '-R 3 2"'
_cell_length_a 6.4206
_cell_length_b 6.4206
_cell_length_c 31.4166
_cell_angle_alpha 90.00
_cell_angle_beta 90.00
_cell_angle_gamma 120.00
loop_
_atom_site_label
_atom_site_type_symbol
_atom_site_fract_x
_atom_site_fract_y
_atom_site_fract_z
Cs1 Cs 0.0000 0.0000 0.0000
Tl1 Tl 0.0000 0.0000 0.1412
In1 In 0.0000 0.0000 0.3357
In2 In 0.0000 0.0000 0.5000
In3 In 0.0082 0.5041 0.9125
```



6.
A geometry-optimized CsTl3In structure, computed with PBE.

The formation enthalpy at 0 K comes out at -0.06 eV per atom. The value obtained for the density of states at the Fermi level is 0.478 states/eV/atom.

Cell and atoms, written as CIF:
```
data_CsTl3In
_space_group_name_H-M_alt 'C 1 2/c 1'
_space_group_IT_number 15
_cell_length_a 16.251
_cell_length_b 11.790
_cell_length_c 7.858
_cell_angle_alpha 90.00
_cell_angle_beta 102.75
_cell_angle_gamma 90.00
loop_
_space_group_symop_operation_xyz
'x,y,z'
'-x,-y,-z'
'-x,y,-z+1/2'
'x,-y,z+1/2'
'x+1/2,y+1/2,z'
'-x+1/2,-y+1/2,-z'
'-x+1/2,y+1/2,-z+1/2'
'x+1/2,-y+1/2,z+1/2'
loop_
_atom_site_label
_atom_site_type_symbol
_atom_site_fract_x
_atom_site_fract_y
_atom_site_fract_z
Cs1 Cs 0.000 0.012 0.250
Cs2 Cs 0.000 0.353 0.750
Tl1 Tl 0.183 0.170 0.600
Tl2 Tl 0.194 0.163 0.087
Tl3 Tl 0.194 0.488 0.592
In1 In 0.097 0.330 0.276
```



7.
A geometry-optimized CsTl16In12 structure, computed with PBE.

The formation enthalpy at 0 K comes out at 0.01 eV per atom. The value obtained for the density of states at the Fermi level is 0.491 states/eV/atom.

Cell and atoms, written as CIF:
```
data_CsTl16In12
_space_group_name_H-M_alt 'C 1 m 1'
_space_group_IT_number 8
_cell_length_a 12.224
_cell_length_b 17.060
_cell_length_c 10.409
_cell_angle_alpha 90.00
_cell_angle_beta 124.88
_cell_angle_gamma 90.00
loop_
_space_group_symop_operation_xyz
'x,y,z'
'x,-y,z'
'x+1/2,y+1/2,z'
'x+1/2,-y+1/2,z'
loop_
_atom_site_label
_atom_site_type_symbol
_atom_site_fract_x
_atom_site_fract_y
_atom_site_fract_z
Cs1 Cs 0.000 0.000 0.000
Tl1 Tl 0.068 0.202 0.935
Tl2 Tl 0.084 0.157 0.285
Tl3 Tl 0.096 0.500 0.263
Tl4 Tl 0.112 0.500 0.624
Tl5 Tl 0.159 0.160 0.666
Tl6 Tl 0.247 0.339 0.875
Tl7 Tl 0.255 0.000 0.918
Tl8 Tl 0.280 0.323 0.254
Tl9 Tl 0.292 0.000 0.554
Tl10 Tl 0.408 0.201 0.582
In1 In 0.119 0.319 0.466
In2 In 0.238 0.500 0.065
In3 In 0.342 0.091 0.286
In4 In 0.380 0.409 0.603
In5 In 0.406 0.187 0.085
In6 In 0.476 0.500 0.408
In7 In 0.486 0.101 0.892
```



8.
A geometry-optimized Cs2Tl5In structure, computed with PBE.

The formation enthalpy at 0 K comes out at -0.06 eV per atom. The value obtained for the density of states at the Fermi level is 0.700 states/eV/atom.

Cell and atoms, written as CIF:
```
data_Cs2Tl5In
_space_group_name_H-M_alt 'I 4/m m m'
_space_group_IT_number 139
_space_group_name_Hall '-I 4 2'
_cell_length_a 5.724
_cell_length_b 5.724
_cell_length_c 18.233
_cell_angle_alpha 90.00
_cell_angle_beta 90.00
_cell_angle_gamma 90.00
loop_
_atom_site_label
_atom_site_type_symbol
_atom_site_fract_x
_atom_site_fract_y
_atom_site_fract_z
Cs1 Cs 0.000 0.000 0.249
Tl1 Tl 0.000 0.000 0.500
Tl2 Tl 0.000 0.500 0.094
In1 In 0.000 0.000 0.000
```



9.
A geometry-optimized CsTl3In structure, computed with PBE.

The formation enthalpy at 0 K comes out at 0.84 eV per atom. The value obtained for the density of states at the Fermi level is 2.186 states/eV/atom.

Cell and atoms, written as CIF:
```
data_CsTl3In
_space_group_name_H-M_alt 'P m -3 m'
_space_group_IT_number 221
_space_group_name_Hall '-P 4 2 3'
_cell_length_a 6.555
_cell_length_b 6.555
_cell_length_c 6.555
_cell_angle_alpha 90.00
_cell_angle_beta 90.00
_cell_angle_gamma 90.00
loop_
_atom_site_label
_atom_site_type_symbol
_atom_site_fract_x
_atom_site_fract_y
_atom_site_fract_z
Cs1 Cs 0.000 0.000 0.000
Tl1 Tl 0.000 0.000 0.500
In1 In 0.500 0.500 0.500
```



10.
A geometry-optimized Cs2Tl8In3 structure, computed with PBE.

The formation enthalpy at 0 K comes out at -0.02 eV per atom. The value obtained for the density of states at the Fermi level is 0.567 states/eV/atom.

Cell and atoms, written as CIF:
```
data_Cs2Tl8In3
_space_group_name_H-M_alt 'C 1 2/m 1'
_space_group_IT_number 12
_cell_length_a 17.757
_cell_length_b 7.096
_cell_length_c 7.483
_cell_angle_alpha 90.00
_cell_angle_beta 103.88
_cell_angle_gamma 90.00
loop_
_space_group_symop_operation_xyz
'x,y,z'
'-x,-y,-z'
'-x,y,-z'
'x,-y,z'
'x+1/2,y+1/2,z'
'-x+1/2,-y+1/2,-z'
'-x+1/2,y+1/2,-z'
'x+1/2,-y+1/2,z'
loop_
_atom_site_label
_atom_site_type_symbol
_atom_site_fract_x
_atom_site_fract_y
_atom_site_fract_z
Cs1 Cs 0.189 0.000 0.326
Tl1 Tl 0.063 0.500 0.372
Tl2 Tl 0.125 0.249 0.766
Tl3 Tl 0.195 0.500 0.124
In1 In 0.000 0.000 0.500
In2 In 0.000 0.243 0.000
```



11.
A geometry-optimized CsTlIn structure, computed with PBE.

The formation enthalpy at 0 K comes out at -0.06 eV per atom. The value obtained for the density of states at the Fermi level is 0.334 states/eV/atom.

Cell and atoms, written as CIF:
```
data_CsTlIn
_space_group_name_H-M_alt 'P n m a'
_space_group_IT_number 62
_cell_length_a 6.637
_cell_length_b 5.176
_cell_length_c 14.883
_cell_angle_alpha 90.00
_cell_angle_beta 90.00
_cell_angle_gamma 90.00
loop_
_space_group_symop_operation_xyz
'x,y,z'
'-x,-y,-z'
'-x+1/2,-y,z+1/2'
'x+1/2,y,-z+1/2'
'x+1/2,-y+1/2,-z+1/2'
'-x+1/2,y+1/2,z+1/2'
'-x,y+1/2,-z'
'x,-y+1/2,z'
loop_
_atom_site_label
_atom_site_type_symbol
_atom_site_fract_x
_atom_site_fract_y
_atom_site_fract_z
Cs1 Cs 0.250 0.250 0.043
Tl1 Tl 0.001 0.250 0.750
In1 In 0.249 0.250 0.319
```



12.
A geometry-optimized Cs2Tl3In2 structure, computed with PBE.

The formation enthalpy at 0 K comes out at -0.05 eV per atom. The value obtained for the density of states at the Fermi level is 0.455 states/eV/atom.

Cell and atoms, written as CIF:
```
data_Cs2Tl3In2
_space_group_name_H-M_alt 'C 1 2/m 1'
_space_group_IT_number 12
_cell_length_a 14.072
_cell_length_b 4.324
_cell_length_c 11.663
_cell_angle_alpha 90.00
_cell_angle_beta 126.82
_cell_angle_gamma 90.00
loop_
_space_group_symop_operation_xyz
'x,y,z'
'-x,-y,-z'
'-x,y,-z'
'x,-y,z'
'x+1/2,y+1/2,z'
'-x+1/2,-y+1/2,-z'
'-x+1/2,y+1/2,-z'
'x+1/2,-y+1/2,z'
loop_
_atom_site_label
_atom_site_type_symbol
_atom_site_fract_x
_atom_site_fract_y
_atom_site_fract_z
Cs1 Cs 0.063 0.000 0.371
Tl1 Tl 0.000 0.000 0.000
Tl2 Tl 0.218 0.500 0.745
In1 In 0.170 0.500 0.995
```